Here is CuTcRu2 after structural relaxation from the Alexandria database. Energies are from GGA-PBE.

a = 6.0669 Å, b = 6.0669 Å, c = 6.0669 Å
α = 90.00°, β = 90.00°, γ = 90.00°
With the nearest neighbours (Å) after each atom.
Space group F-43m (No. 216)
Symmetry-distinct sites (fractional):
Cu  0.0000  0.0000  0.0000 x4  4 Tc 2.63, 4 Ru 2.63
Tc  0.2500  0.2500  0.7500 x4  4 Cu 2.63, 4 Ru 2.63
Ru  0.0000  0.0000  0.5000 x4  4 Tc 2.63, 4 Ru 2.63
Ru  0.2500  0.2500  0.2500 x4  4 Ru 2.63, 4 Cu 2.63

Properties
Total moment in μB per formula unit: 1.25
Crystal system: cubic
ΔH_f (0 K) in eV per atom: 0.45
Density of states at the Fermi level in states/eV/atom: 1.551